VASP calculation (GGA-PBE) on a relaxed structure of HfZn6.

Lattice parameters (Å, degrees): 5.0756 8.3705 10.2661 90.00 90.00 90.00
Fractional positions:
Hf: 0.2500 0.2582 0.4325
Hf: 0.7500 0.7418 0.5675
Hf: 0.7500 0.2418 0.9325
Hf: 0.2500 0.7582 0.0675
Zn: 0.5112 0.5536 0.8019
Zn: 0.7500 0.9543 0.0806
Zn: 0.0112 0.9464 0.3019
Zn: 0.7500 0.8441 0.8527
Zn: 0.4888 0.9464 0.3019
Zn: 0.4888 0.4464 0.1981
Zn: 0.2500 0.7954 0.7547
Zn: 0.7500 0.3441 0.6473
Zn: 0.9888 0.0536 0.6981
Zn: 0.5112 0.0536 0.6981
Zn: 0.7500 0.4543 0.4194
Zn: 0.2500 0.9083 0.5192
Zn: 0.7500 0.7046 0.2547
Zn: 0.7500 0.5917 0.0192
Zn: 0.2500 0.2954 0.7453
Zn: 0.9888 0.5536 0.8019
Zn: 0.2500 0.5457 0.5806
Zn: 0.7500 0.0917 0.4808
Zn: 0.7500 0.2046 0.2453
Zn: 0.2500 0.6559 0.3527
Zn: 0.2500 0.1559 0.1473
Zn: 0.2500 0.0457 0.9194
Zn: 0.0112 0.4464 0.1981
Zn: 0.2500 0.4083 0.9808

Output
Crystal system: orthorhombic
Space group: Pnma, No. 62
E_form (kJ per mole of atoms): -3.9
E_tot (eV/atom): -2.55



VASP calculation (GGA-PBE) on a relaxed structure of Sr3Cl.

Lattice parameters (Å, degrees): 6.6635 6.6635 4.2637 90.00 90.00 90.00
Fractional positions:
Sr: 0.0000 0.5000 0.5000
Sr: 0.5000 0.0000 0.5000
Sr: 0.5000 0.5000 0.0000
Cl: 0.0000 0.0000 0.0000

Output
Crystal system: tetragonal
Space group: P4/mmm, No. 123
E_tot (eV/atom): -2.17
E_form (uncorrected) (eV per atom): -0.4421



VASP calculation (GGA-PBE) on a relaxed structure of Pm2PrTl3.

Lattice parameters (Å, degrees): 3.8808 3.8808 11.8135 90.00 90.00 90.00
Fractional positions:
Tl: 0.0000 0.0000 0.3286
Tl: 0.0000 0.0000 0.0000
Tl: 0.0000 0.0000 0.6714
Pm: 0.5000 0.5000 0.8354
Pm: 0.5000 0.5000 0.1646
Pr: 0.5000 0.5000 0.5000

Output
Crystal system: tetragonal
Space group: P4/mmm, No. 123
E_form (kJ per mole of atoms): -37.8
E_tot (eV/atom): -3.96



VASP calculation (GGA-PBE) on a relaxed structure of NaLi4U3Se8.

Lattice parameters (Å, degrees): 8.1694 8.0114 8.1701 120.65 120.00 90.00
Fractional positions:
U: 0.0000 0.5000 0.5000
U: 0.5000 0.5000 0.0000
U: 0.5000 0.5000 0.5000
Na: 0.0000 0.5000 0.0000
Se: 0.2563 0.7528 0.9964
Se: 0.7401 0.7528 0.9964
Se: 0.2563 0.7528 0.5127
Se: 0.2599 0.2472 0.0036
Se: 0.7532 0.7596 0.5063
Se: 0.7437 0.2472 0.4873
Se: 0.2468 0.2404 0.4937
Se: 0.7437 0.2472 0.0036
Li: 0.5000 0.0000 0.0000
Li: 0.0000 0.0000 0.0000
Li: 0.5000 0.0000 0.5000
Li: 0.0000 0.0000 0.5000

Output
Crystal system: trigonal
Space group: R-3m, No. 166
E_tot (eV/atom): -5.63
E_form (uncorrected) (eV per atom): -1.2061



VASP calculation (GGA-PBE) on a relaxed structure of TbHgBiPd.

Lattice parameters (Å, degrees): 5.1157 5.1157 5.1157 60.00 60.00 60.00
Fractional positions:
Tb: 0.7500 0.7500 0.7500
Hg: 0.5000 0.5000 0.5000
Bi: 0.2500 0.2500 0.2500
Pd: 0.0000 0.0000 0.0000

Output
Crystal system: cubic
Space group: F-43m, No. 216
E_form (kJ per mole of atoms): -47.3
E_tot (eV/atom): -3.99



VASP calculation (GGA-PBE) on a relaxed structure of SiAsPd5.

Lattice parameters (Å, degrees): 6.1609 6.1609 8.2087 69.10 69.10 75.77
Fractional positions:
Pd: 0.8094 0.6547 0.7133
Pd: 0.1527 0.8473 0.7500
Pd: 0.3940 0.7336 0.0045
Pd: 0.6547 0.8094 0.2133
Pd: 0.7336 0.3940 0.5045
Pd: 0.3453 0.1906 0.7867
Pd: 0.2664 0.6060 0.4955
Pd: 0.6060 0.2664 0.9955
Pd: 0.1906 0.3453 0.2867
Pd: 0.8473 0.1527 0.2500
As: 0.0000 0.0000 0.0000
As: 0.0000 0.0000 0.5000
Si: 0.5432 0.4568 0.2500
Si: 0.4568 0.5432 0.7500

Output
Crystal system: monoclinic
Space group: C2/c, No. 15
E_tot (eV/atom): -5.31
E_form (uncorrected) (eV per atom): -0.1645



VASP calculation (GGA-PBE) on a relaxed structure of K2HgRu.

Lattice parameters (Å, degrees): 6.1625 6.1625 3.2643 90.30 90.30 121.09
Fractional positions:
K: 0.5000 0.5000 0.0000
K: 0.0000 0.0000 0.0000
Ru: 0.5000 0.0000 0.5000
Hg: 0.0000 0.5000 0.5000

Output
Crystal system: monoclinic
Space group: C2/m, No. 12
E_form (kJ per mole of atoms): 75.5
E_tot (eV/atom): -2.16



VASP calculation (GGA-PBE) on a relaxed structure of Rb2ErAuO4.

Lattice parameters (Å, degrees): 6.1608 7.8394 12.0638 84.24 75.21 66.86
Fractional positions:
O: 0.3960 0.6981 0.4889
O: 0.1669 0.1981 0.9889
O: 0.3540 0.8019 0.0111
O: 0.8442 0.8019 0.9889
O: 0.1151 0.3019 0.4889
O: 0.9058 0.6981 0.5111
O: 0.5831 0.3019 0.5111
O: 0.6349 0.1981 0.0111
Er: 0.7500 0.5000 0.5000
Er: 0.0000 0.0000 0.0000
Rb: 0.8082 0.0000 0.3836
Rb: 0.1918 0.0000 0.6164
Rb: 0.5582 0.5000 0.8836
Rb: 0.9418 0.5000 0.1164
Au: 0.2500 0.5000 0.5000
Au: 0.5000 0.0000 0.0000

Output
Crystal system: orthorhombic
Space group: Fddd, No. 70
E_tot (eV/atom): -5.07
E_form (uncorrected) (eV per atom): -1.3740